No. 1
Density functional theory data (PBE-GGA) for crystalline Pr3NdSb3 at its relaxed geometry.

Structure (CIF):
```
data_Pr3NdSb3
_cell_length_a 9.5728
_cell_length_b 9.5728
_cell_length_c 9.5728
_cell_angle_alpha 90.00
_cell_angle_beta 90.00
_cell_angle_gamma 90.00
_symmetry_space_group_name_H-M 'P 21 3'
_symmetry_Int_Tables_number 198
_symmetry_space_group_name_Hall 'P 2ac 2ab 3'
loop_
_atom_site_label
_atom_site_type_symbol
_atom_site_fract_x
_atom_site_fract_y
_atom_site_fract_z
Pr1 Pr 0.0696 0.4304 0.5696
Pr2 Pr 0.1795 0.8205 0.3205
Pr3 Pr 0.1798 0.1798 0.1798
Nd1 Nd 0.0703 0.5703 0.9297
Sb1 Sb 0.0003 0.2511 0.8742
```

Output
Calculated density   7.06 g cm⁻³
E above lowest polymorph   0.00 eV/f.u.
Formation energy without anion corrections   -1.066 eV per atom



No. 2
Density functional theory data (PBE-GGA) for crystalline ZnCd2Cl at its relaxed geometry.

Structure (CIF):
```
data_ZnCd2Cl
_cell_length_a 7.2924
_cell_length_b 7.2924
_cell_length_c 7.2924
_cell_angle_alpha 90.00
_cell_angle_beta 90.00
_cell_angle_gamma 90.00
_symmetry_space_group_name_H-M 'F -4 3 m'
_symmetry_Int_Tables_number 216
_symmetry_space_group_name_Hall 'F -4 2 3'
loop_
_atom_site_label
_atom_site_type_symbol
_atom_site_fract_x
_atom_site_fract_y
_atom_site_fract_z
Zn1 Zn 0.0000 0.0000 0.0000
Cd1 Cd 0.0000 0.0000 0.5000
Cd2 Cd 0.2500 0.2500 0.2500
Cl1 Cl 0.2500 0.2500 0.7500
```

Output
Calculated density   5.58 g cm⁻³
E above lowest polymorph   1.08 eV/f.u.
Formation energy without anion corrections   0.024 eV per atom



No. 3
Density functional theory data (PBE-GGA) for crystalline PrDy8 at its relaxed geometry.

Structure (CIF):
```
data_PrDy8
_cell_length_a 10.6895
_cell_length_b 10.6895
_cell_length_c 5.0247
_cell_angle_alpha 90.00
_cell_angle_beta 90.00
_cell_angle_gamma 90.00
_symmetry_space_group_name_H-M 'I 4/m m m'
_symmetry_Int_Tables_number 139
_symmetry_space_group_name_Hall '-I 4 2'
loop_
_atom_site_label
_atom_site_type_symbol
_atom_site_fract_x
_atom_site_fract_y
_atom_site_fract_z
Pr1 Pr 0.0000 0.0000 0.0000
Dy1 Dy 0.0000 0.3345 0.0000
Dy2 Dy 0.1677 0.1677 0.5000
```

Output
Calculated density   8.33 g cm⁻³
E_form   20 meV per atom